No. 1
Computed, not measured: KBTe2N after structural relaxation at the GGA-PBE level of DFT.

## Properties
DFT total energy: -1.94 eV per atom
uncorrected formation energy: 2.5379 eV/atom
ΔE to the lowest computed polymorph: 2692 meV/atom

Lattice parameters (Å, degrees): 6.0336 6.0336 4.4566 90.00 90.00 90.00
Last column: nearest neighbours and their distance in Å.
Fractional coordinates of all 5 atoms:
K: 0.0000 0.0000 0.0000  2 N 2.23
B: 0.5000 0.5000 0.5000  8 Te 3.75
Te: 0.0000 0.5000 0.0000  2 K 3.02
Te: 0.5000 0.0000 0.0000  2 K 3.02
N: 0.0000 0.0000 0.5000  2 K 2.23

***

No. 2
Computed, not measured: KBTeN2 after structural relaxation at the GGA-PBE level of DFT.

## Properties
DFT total energy: -2.27 eV per atom
uncorrected formation energy: 3.2479 eV/atom
ΔE to the lowest computed polymorph: 1441 meV/atom

Lattice parameters (Å, degrees): 4.7257 4.7257 7.0047 90.00 90.00 90.00
Last column: nearest neighbours and their distance in Å.
Fractional coordinates of all 5 atoms:
K: 0.0000 0.0000 0.0000  4 N 2.36
B: 0.5000 0.5000 0.5000  4 Te 3.34
Te: 0.0000 0.0000 0.5000  4 B 3.34, 2 K 3.50
N: 0.0000 0.5000 0.0000  2 K 2.36
N: 0.5000 0.0000 0.0000  2 K 2.36

***

No. 3
Computed, not measured: KBTeN2 after structural relaxation at the GGA-PBE level of DFT.

## Properties
DFT total energy: -3.71 eV per atom
uncorrected formation energy: 1.8065 eV/atom
ΔE to the lowest computed polymorph: 0 meV/atom

Lattice parameters (Å, degrees): 4.1949 4.1949 4.6437 90.00 90.00 90.00
Last column: nearest neighbours and their distance in Å.
Fractional coordinates of all 5 atoms:
K: 0.0000 0.0000 0.0000  4 Te 2.97, 8 N 3.13
B: 0.5000 0.5000 0.5000  4 N 2.10, 2 Te 2.32
Te: 0.5000 0.5000 0.0000  2 B 2.32
N: 0.0000 0.5000 0.5000  2 B 2.10
N: 0.5000 0.0000 0.5000  2 B 2.10

***

No. 4
Computed, not measured: KBTe2N after structural relaxation at the GGA-PBE level of DFT.

## Properties
DFT total energy: -4.63 eV per atom
uncorrected formation energy: -0.1544 eV/atom
ΔE to the lowest computed polymorph: 0 meV/atom

Lattice parameters (Å, degrees): 6.8423 6.8423 2.7764 90.00 90.00 90.00
Last column: nearest neighbours and their distance in Å.
Fractional coordinates of all 5 atoms:
K: 0.0000 0.0000 0.0000  2 K 2.78
B: 0.5000 0.5000 0.5000  2 N 1.39
Te: 0.0000 0.5000 0.5000  2 Te 2.78
Te: 0.5000 0.0000 0.5000  2 Te 2.78
N: 0.5000 0.5000 0.0000  2 B 1.39

***

No. 5
Computed, not measured: KZn2BN after structural relaxation at the GGA-PBE level of DFT.

## Properties
DFT total energy: -2.53 eV per atom
uncorrected formation energy: 1.2039 eV/atom

Lattice parameters (Å, degrees): 4.0542 4.0542 5.9221 90.00 90.00 90.00
Last column: nearest neighbours and their distance in Å.
Fractional coordinates of all 5 atoms:
K: 0.0000 0.0000 0.0000  4 B 2.87
Zn: 0.0000 0.5000 0.5000  2 N 2.03
Zn: 0.5000 0.0000 0.5000  2 N 2.03
B: 0.5000 0.5000 0.0000  4 K 2.87, 2 N 2.96
N: 0.5000 0.5000 0.5000  4 Zn 2.03

***

No. 6
Computed, not measured: K2NaB after structural relaxation at the GGA-PBE level of DFT.

## Properties
energy of formation: 0.874 eV per atom
DFT total energy: -1.67 eV per atom

Lattice parameters (Å, degrees): 8.6767 8.6767 8.6767 95.33 95.33 144.51
Last column: nearest neighbours and their distance in Å.
Fractional coordinates of all 8 atoms:
K: 0.3750 0.2072 0.3322  2 B 3.15
K: 0.7928 0.1250 0.1678  2 B 3.15
K: 0.8750 0.0428 0.6678  2 B 3.15
K: 0.9572 0.6250 0.8322  2 B 3.15
Na: 0.2500 0.7500 0.5000  2 B 2.64
Na: 0.5000 0.5000 0.0000  2 B 2.64
B: 0.0000 0.0000 0.0000  2 Na 2.64
B: 0.7500 0.2500 0.5000  2 Na 2.64

***

Question: What is the DFT total energy in the first record?
Answer: -1.94 eV per atom